# Li3Sn5I12, optimized geometry, DFT PBE
# Theoretical density: 4.1 g/cm³
# DOS(E_F): 6.7 states/eV/f.u.
# Formation energy without anion corrections: -0.518 eV/atom
# Calculated volume: 6850.8 Å³ per cell
# Calculated total energy: -2.7354 eV per atom
data_Li3Sn5I12
_cell_length_a 18.992
_cell_length_b 18.992
_cell_length_c 18.992
_cell_angle_alpha 90.00
_cell_angle_beta 90.00
_cell_angle_gamma 90.00
_symmetry_space_group_name_H-M 'I a -3 d'
_symmetry_Int_Tables_number 230
_symmetry_space_group_name_Hall '-I 4bd 2c 3'
loop_
_atom_site_label
_atom_site_type_symbol
_atom_site_fract_x
_atom_site_fract_y
_atom_site_fract_z
Li1 Li 0.000 0.250 0.125
Sn1 Sn 0.000 0.000 0.000
Sn2 Sn 0.000 0.250 0.375
I1 I 0.017 0.047 0.339